A plane-wave DFT calculation with SCAN was carried out for Bi3PRu at its PBEsol-relaxed geometry.

Lattice parameters (Å, degrees): 5.1558 5.1558 5.1558 90.00 90.00 90.00
Atoms (fractional coordinates):
Bi1 0.0000 0.0000 0.5000
Bi2 0.0000 0.5000 0.0000
Bi3 0.5000 0.0000 0.0000
P1 0.5000 0.5000 0.5000
Ru1 0.0000 0.0000 0.0000

Summary:
Distance to the lowest polymorph of the same formula   0 meV per atom
DFT formation energy   0.791 eV/atom
Density of states at the Fermi level   3.888 states/eV per cell
M_tot   0.0 μB per formula unit
Total DFT energy (no corrections)   -277.011 eV for the cell shown